Here is crystalline In2GaPd at its relaxed geometry from Alexandria via LeMat-Bulk. Energies are from PBE-GGA.

**M_tot**: 0.00 μB per cell
**E_form**: -0.52 eV per formula unit
**Crystal system**: tetragonal
**Density**: 6.74 g cm⁻³

a b c (Å): 9.0370 9.0370 4.8964
angles (deg): 90.00 90.00 90.00
Element x y z (fractional)
In  0.1514  0.7500  0.1250
In  0.2500  0.1514  0.8750
In  0.2500  0.3486  0.3750
In  0.3486  0.7500  0.6250
In  0.6514  0.2500  0.6250
In  0.7500  0.6514  0.3750
In  0.7500  0.8486  0.8750
In  0.8486  0.2500  0.1250
Ga  0.0000  0.0000  0.5000
Ga  0.0000  0.5000  0.7500
Ga  0.5000  0.0000  0.2500
Ga  0.5000  0.5000  0.0000
Pd  0.0000  0.0000  0.0000
Pd  0.0000  0.5000  0.2500
Pd  0.5000  0.0000  0.7500
Pd  0.5000  0.5000  0.5000


Here is crystalline InGa6Pd12 at its relaxed geometry from Alexandria via LeMat-Bulk. Energies are from PBE-GGA.

**M_tot**: 0.00 μB per cell
**E_form**: -7.96 eV per formula unit
**Crystal system**: trigonal
**Density**: 8.70 g cm⁻³

a b c (Å): 7.1603 7.1603 7.1603
angles (deg): 100.57 100.57 100.57
Element x y z (fractional)
In  0.0000  0.0000  0.0000
Ga  0.1533  0.2751  0.5337
Ga  0.2751  0.5337  0.1533
Ga  0.4663  0.8467  0.7249
Ga  0.5337  0.1533  0.2751
Ga  0.7249  0.4663  0.8467
Ga  0.8467  0.7249  0.4663
Pd  0.0242  0.3260  0.8657
Pd  0.1343  0.9758  0.6740
Pd  0.1785  0.6101  0.4807
Pd  0.3260  0.8657  0.0242
Pd  0.3899  0.5193  0.8215
Pd  0.4807  0.1785  0.6101
Pd  0.5193  0.8215  0.3899
Pd  0.6101  0.4807  0.1785
Pd  0.6740  0.1343  0.9758
Pd  0.8215  0.3899  0.5193
Pd  0.8657  0.0242  0.3260
Pd  0.9758  0.6740  0.1343


Here is crystalline In2GaPd at its relaxed geometry from Alexandria via LeMat-Bulk. Energies are from PBE-GGA.

**M_tot**: 0.00 μB per cell
**E_form**: -0.73 eV per formula unit
**Crystal system**: tetragonal
**Density**: 8.13 g cm⁻³

a b c (Å): 3.1414 3.1414 8.3973
angles (deg): 90.00 90.00 90.00
Element x y z (fractional)
In  0.0000  0.0000  0.2169
In  0.0000  0.0000  0.7831
Ga  0.5000  0.5000  0.5000
Pd  0.5000  0.5000  0.0000


Here is crystalline InGaPd at its relaxed geometry from Alexandria via LeMat-Bulk. Energies are from PBE-GGA.

**M_tot**: 0.00 μB per cell
**E_form**: -1.09 eV per formula unit
**Crystal system**: monoclinic
**Density**: 8.12 g cm⁻³

a b c (Å): 3.1363 4.2271 8.9710
angles (deg): 90.00 90.06 90.00
Element x y z (fractional)
In  0.0016  0.2500  0.3875
In  0.9984  0.7500  0.6125
Ga  0.0005  0.7500  0.1249
Ga  0.9995  0.2500  0.8751
Pd  0.5004  0.2500  0.1249
Pd  0.4996  0.7500  0.8751